Density functional theory data (GGA-PBEsol) for a relaxed Fe2PtAu crystal.

a = 2.6977 Å, b = 2.6977 Å, c = 7.6120 Å
α = 90.00°, β = 90.00°, γ = 90.00°
Sites, in units of the cell vectors:
Au (0.5000, 0.5000, 0.5000)
Fe (0.0000, 0.0000, 0.7591)
Fe (0.0000, 0.0000, 0.2409)
Pt (0.5000, 0.5000, 0.0000)

## Properties
Calculated volume = 13.8 Å³/atom
ΔH_f (0 K) = -0.009 eV/atom
Space group = P4/mmm (123)